Record 1
First-principles (PBE-GGA) data for an optimized crystal structure of K2YCl4, as listed in Alexandria via LeMat-Bulk.

Its formation energy from raw total energies is -1.862 eV/atom.

Lattice parameters (Å, degrees): 5.338 5.338 8.927 72.60 72.60 90.00
Positions (direct):
Cl  0.833  0.833  0.335
Cl  0.000  0.500  0.000
Cl  0.500  0.000  0.000
Cl  0.167  0.167  0.665
K  0.641  0.641  0.717
K  0.359  0.359  0.283
Y  0.000  0.000  0.000

Record 2
First-principles (PBE-GGA) data for an optimized crystal structure of Na2PuPaS4, as listed in Alexandria via LeMat-Bulk.

Its formation energy from raw total energies is -1.528 eV/atom.

Lattice parameters (Å, degrees): 4.000 6.960 7.085 108.82 90.00 90.00
Positions (direct):
S  0.000  0.262  0.769
S  0.500  0.251  0.229
S  0.000  0.738  0.231
S  0.500  0.749  0.771
Na  0.000  0.500  0.500
Na  0.500  0.000  0.500
Pu  0.000  0.000  0.000
Pa  0.500  0.500  0.000

Record 3
First-principles (PBE-GGA) data for an optimized crystal structure of MnPPb3, as listed in Alexandria via LeMat-Bulk.

The value obtained for the calculated formation energy is 0.578 eV per atom.

Lattice parameters (Å, degrees): 5.149 5.149 5.149 90.00 90.00 90.00
Positions (direct):
Pb  0.500  0.000  0.000
Pb  0.000  0.000  0.500
Pb  0.000  0.500  0.000
P  0.500  0.500  0.500
Mn  0.000  0.000  0.000

Record 4
First-principles (PBE-GGA) data for an optimized crystal structure of Pm2PS, as listed in Alexandria via LeMat-Bulk.

Its formation energy from raw total energies is -1.416 eV/atom.

Lattice parameters (Å, degrees): 3.508 5.002 5.002 90.00 90.00 90.00
Positions (direct):
Pm  0.000  0.500  0.000
Pm  0.000  0.000  0.500
S  0.500  0.500  0.500
P  0.500  0.000  0.000

Record 5
First-principles (PBE-GGA) data for an optimized crystal structure of NaTl2BiPb, as listed in Alexandria via LeMat-Bulk.

The value obtained for the calculated formation energy is -0.002 eV per atom.

Lattice parameters (Å, degrees): 3.476 10.633 9.010 90.00 90.00 99.41
Positions (direct):
Tl  0.851  0.702  0.063
Tl  0.149  0.298  0.563
Tl  0.851  0.702  0.437
Tl  0.149  0.298  0.937
Bi  0.403  0.805  0.750
Bi  0.597  0.195  0.250
Na  0.763  0.526  0.750
Na  0.237  0.474  0.250
Pb  0.000  0.000  0.500
Pb  0.000  0.000  0.000

Record 6
First-principles (PBE-GGA) data for an optimized crystal structure of PbW4Se2, as listed in Alexandria via LeMat-Bulk.

Its formation energy from raw total energies is 2.418 eV/atom.

Lattice parameters (Å, degrees): 4.938 4.938 7.426 70.58 70.58 90.00
Positions (direct):
Se  0.610  0.610  0.780
Se  0.390  0.390  0.220
W  0.000  0.500  0.000
W  0.500  0.000  0.000
W  0.791  0.791  0.418
W  0.209  0.209  0.582
Pb  0.000  0.000  0.000

Record 7
First-principles (PBE-GGA) data for an optimized crystal structure of SrSn2Pd, as listed in Alexandria via LeMat-Bulk.

The value obtained for the calculated formation energy is -0.648 eV per atom.

Lattice parameters (Å, degrees): 4.550 4.550 6.574 69.76 69.76 60.00
Positions (direct):
Pd  0.000  0.000  0.000
Sn  0.717  0.717  0.850
Sn  0.283  0.283  0.150
Sr  0.500  0.500  0.500

Record 8
First-principles (PBE-GGA) data for an optimized crystal structure of Pm2Nd5Sb4, as listed in Alexandria via LeMat-Bulk.

Its formation energy from raw total energies is -0.499 eV/atom.

Lattice parameters (Å, degrees): 4.107 7.287 13.307 88.24 98.88 90.00
Positions (direct):
Sb  0.970  0.309  0.941
Sb  0.030  0.691  0.059
Sb  0.330  0.506  0.659
Sb  0.670  0.494  0.341
Nd  0.141  0.816  0.282
Nd  0.234  0.242  0.468
Nd  0.500  0.000  0.000
Nd  0.766  0.758  0.532
Nd  0.859  0.184  0.718
Pm  0.909  0.687  0.818
Pm  0.091  0.313  0.182

Record 9
First-principles (PBE-GGA) data for an optimized crystal structure of Pm6InHg2, as listed in Alexandria via LeMat-Bulk.

The value obtained for the calculated formation energy is -0.298 eV per atom.

Lattice parameters (Å, degrees): 5.293 7.020 8.365 83.15 71.56 67.86
Positions (direct):
Pm  0.342  0.815  0.500
Pm  0.680  0.803  0.837
Pm  0.658  0.185  0.500
Pm  0.320  0.197  0.163
Pm  0.983  0.197  0.837
Pm  0.017  0.803  0.163
In  0.000  0.500  0.500
Hg  0.338  0.500  0.824
Hg  0.662  0.500  0.176

Record 10
First-principles (PBE-GGA) data for an optimized crystal structure of KRbNa2Tl, as listed in Alexandria via LeMat-Bulk.

The value obtained for the calculated formation energy is 0.022 eV per atom.

Lattice parameters (Å, degrees): 6.246 6.246 6.781 90.00 90.00 90.00
Positions (direct):
Na  0.000  0.500  0.000
Na  0.500  0.000  0.000
Tl  0.000  0.000  0.000
Rb  0.500  0.500  0.500
K  0.000  0.000  0.500

Record 11
First-principles (PBE-GGA) data for an optimized crystal structure of RbCuTc2, as listed in Alexandria via LeMat-Bulk.

The value obtained for the calculated formation energy is 1.987 eV per atom.

Lattice parameters (Å, degrees): 4.574 4.574 4.574 60.00 60.00 60.00
Positions (direct):
Tc  0.250  0.250  0.250
Tc  0.750  0.750  0.750
Rb  0.500  0.500  0.500
Cu  0.000  0.000  0.000

Record 12
First-principles (PBE-GGA) data for an optimized crystal structure of Ta2OsRu, as listed in Alexandria via LeMat-Bulk.

The value obtained for the calculated formation energy is -0.024 eV per atom.

Lattice parameters (Å, degrees): 2.781 2.781 8.460 90.00 90.00 90.00
Positions (direct):
Ru  0.500  0.500  0.725
Ta  0.500  0.500  0.264
Ta  0.000  0.000  0.986
Os  0.000  0.000  0.525

no.,DFT total energy (eV per atom)
1,-4.15
2,-6.90
3,-4.56
4,-6.18
5,-2.73
6,-6.51
7,-4.37
8,-5.03
9,-3.84
10,-1.39
11,-4.46
12,-11.08